No. 1
First-principles (GGA-PBE) data for a relaxed KTeRu2 crystal, as listed in Alexandria.

Results
- energy relative to the elements, uncorrected (eV/f.u.) = 3.15
- calculated density (g cm⁻³) = 7.1
- total magnetic moment (μB per formula unit) = 0.0

Unit cell a=3.2843 b=3.2843 c=27.7776 alpha=90.00 beta=90.00 gamma=120.00
Last column: nearest neighbours and their distance in Å.
Space group R-3m (No. 166, hexagonal axes)
One atom of each set of equivalent atoms:
K 0.0000 0.0000 0.0000 [3 per cell]  6 K 3.28, 6 Ru 3.42
Te 0.0000 0.0000 0.5000 [3 per cell]  6 Ru 2.61
Ru 0.0000 0.0000 0.2310 [6 per cell]  3 Te 2.61

No. 2
First-principles (GGA-PBE) data for a relaxed KTeRu2 crystal, as listed in Alexandria.

Results
- energy relative to the elements, uncorrected (eV/f.u.) = 2.78
- calculated density (g cm⁻³) = 7.4
- total magnetic moment (μB per formula unit) = 0.4

Unit cell a=3.1123 b=3.1123 c=29.7379 alpha=90.00 beta=90.00 gamma=120.00
Last column: nearest neighbours and their distance in Å.
Space group R3m (No. 160, hexagonal axes)
One atom of each set of equivalent atoms:
K 0.0000 0.0000 0.0000 [3 per cell]  6 K 3.11, 3 Ru 3.32
Te 0.0000 0.0000 0.2292 [3 per cell]  3 Ru 2.77
Ru 0.0000 0.0000 0.4917 [3 per cell]  3 Ru 2.63, 3 Te 2.77
Ru 0.0000 0.0000 0.7606 [3 per cell]  3 Ru 2.63

No. 3
First-principles (GGA-PBE) data for a relaxed KTeRu2 crystal, as listed in Alexandria.

Results
- energy relative to the elements, uncorrected (eV/f.u.) = 3.19
- calculated density (g cm⁻³) = 6.6
- total magnetic moment (μB per formula unit) = 0.0

Unit cell a=3.1386 b=4.2433 c=7.1427 alpha=90.00 beta=102.63 gamma=90.00
Last column: nearest neighbours and their distance in Å.
Space group P2/m (No. 10)
One atom of each set of equivalent atoms:
K 0.0000 0.0000 0.0000 [1 per cell]  2 K 3.14, 4 Ru 3.50
Te 0.0000 0.0000 0.5000 [1 per cell]  4 Ru 2.56
Ru 0.3537 0.5000 0.6637 [2 per cell]  2 Te 2.56, 2 Ru 2.69-2.85